No. 1
Computed, not measured: a relaxed structure of Tb2InHg9 at the PBE level of DFT.

D(E_F)	7.433	states/eV per cell
DFT total energy	-0.0530	Ha/atom
total moment	0.000	μB per atom

a b c (Å): 4.711 4.711 13.405
angles (deg): 90.00 90.00 90.00
Element x y z (fractional)
Tb 0.000 0.000 0.172
Tb 0.000 0.000 0.828
In 0.000 0.000 0.500
Hg 0.000 0.500 0.000
Hg 0.000 0.500 0.333
Hg 0.000 0.500 0.667
Hg 0.500 0.000 0.000
Hg 0.500 0.000 0.333
Hg 0.500 0.000 0.667
Hg 0.500 0.500 0.162
Hg 0.500 0.500 0.500
Hg 0.500 0.500 0.838



No. 2
Computed, not measured: a relaxed structure of Ga4Si23 at the PBE level of DFT.

D(E_F)	18.434	states/eV per cell
energy relative to the elements, uncorrected	0.14	eV/atom
DFT total energy	-0.1811	Ha/atom
total moment	0.000	μB per atom

a b c (Å): 10.184 10.184 10.184
angles (deg): 90.00 90.00 90.00
Element x y z (fractional)
Ga 0.000 0.000 0.000
Ga 0.000 0.250 0.500
Ga 0.000 0.750 0.500
Ga 0.250 0.500 0.000
Ga 0.500 0.000 0.250
Ga 0.500 0.000 0.750
Ga 0.500 0.500 0.500
Ga 0.750 0.500 0.000
Si 0.000 0.308 0.117
Si 0.000 0.308 0.883
Si 0.000 0.500 0.250
Si 0.000 0.500 0.750
Si 0.000 0.692 0.117
Si 0.000 0.692 0.883
Si 0.117 0.000 0.308
Si 0.117 0.000 0.692
Si 0.184 0.184 0.184
Si 0.184 0.184 0.816
Si 0.184 0.816 0.184
Si 0.184 0.816 0.816
Si 0.192 0.500 0.383
Si 0.192 0.500 0.617
Si 0.250 0.000 0.500
Si 0.308 0.117 0.000
Si 0.308 0.883 0.000
Si 0.316 0.316 0.316
Si 0.316 0.316 0.684
Si 0.316 0.684 0.316
Si 0.316 0.684 0.684
Si 0.383 0.192 0.500
Si 0.383 0.808 0.500
Si 0.500 0.250 0.000
Si 0.500 0.383 0.192
Si 0.500 0.383 0.808
Si 0.500 0.617 0.192
Si 0.500 0.617 0.808
Si 0.500 0.750 0.000
Si 0.617 0.192 0.500
Si 0.617 0.808 0.500
Si 0.684 0.316 0.316
Si 0.684 0.316 0.684
Si 0.684 0.684 0.316
Si 0.684 0.684 0.684
Si 0.692 0.117 0.000
Si 0.692 0.883 0.000
Si 0.750 0.000 0.500
Si 0.808 0.500 0.383
Si 0.808 0.500 0.617
Si 0.816 0.184 0.184
Si 0.816 0.184 0.816
Si 0.816 0.816 0.184
Si 0.816 0.816 0.816
Si 0.883 0.000 0.308
Si 0.883 0.000 0.692



No. 3
Computed, not measured: a relaxed structure of LiTh2Si3 at the PBE level of DFT.

D(E_F)	6.705	states/eV per cell
energy relative to the elements, uncorrected	-0.60	eV/atom
DFT total energy	-0.2243	Ha/atom
total moment	0.000	μB per atom

a b c (Å): 8.283 8.281 5.869
angles (deg): 69.26 69.23 41.50
Element x y z (fractional)
Li 0.166 0.166 0.834
Li 0.834 0.834 0.166
Th 0.250 0.250 0.250
Th 0.255 0.745 0.745
Th 0.745 0.255 0.255
Th 0.750 0.750 0.750
Si 0.163 0.670 0.330
Si 0.330 0.837 0.163
Si 0.332 0.332 0.668
Si 0.668 0.668 0.332
Si 0.670 0.163 0.837
Si 0.837 0.330 0.670



No. 4
Computed, not measured: a relaxed structure of ReW2 at the PBE level of DFT.

D(E_F)	6.410	states/eV per cell
DFT total energy	-0.4517	Ha/atom
energy relative to the lowest polymorph listed for this composition	0.444	eV/atom
total moment	0.000	μB per atom

a b c (Å): 5.178 5.178 5.178
angles (deg): 60.00 60.00 60.00
Element x y z (fractional)
Re 0.125 0.125 0.125
Re 0.875 0.875 0.875
W 0.000 0.500 0.500
W 0.500 0.000 0.500
W 0.500 0.500 0.000
W 0.500 0.500 0.500



No. 5
Computed, not measured: a relaxed structure of LiLa2Ge3Pd4 at the PBE level of DFT.

D(E_F)	6.643	states/eV per cell
DFT total energy	-0.2013	Ha/atom
total moment	0.000	μB per atom

a b c (Å): 4.349 4.349 10.320
angles (deg): 90.00 90.00 90.00
Element x y z (fractional)
Li 0.000 0.000 0.000
La 0.000 0.500 0.751
La 0.500 0.000 0.249
Ge 0.000 0.500 0.369
Ge 0.500 0.000 0.631
Ge 0.500 0.500 0.000
Pd 0.000 0.000 0.500
Pd 0.000 0.500 0.127
Pd 0.500 0.000 0.873
Pd 0.500 0.500 0.500



No. 6
Computed, not measured: a relaxed structure of LiZnCo at the PBE level of DFT.

D(E_F)	5.050	states/eV per cell
DFT total energy	-0.1245	Ha/atom
energy relative to the lowest polymorph listed for this composition	0.092	eV/atom
total moment	0.354	μB per atom

a b c (Å): 2.503 3.865 7.694
angles (deg): 90.00 90.00 90.00
Element x y z (fractional)
Li 0.000 0.000 0.000
Li 0.500 0.500 0.500
Zn 0.000 0.000 0.329
Zn 0.500 0.500 0.829
Co 0.000 0.000 0.672
Co 0.500 0.500 0.172



No. 7
Computed, not measured: a relaxed structure of Dy3GaSe6 at the PBE level of DFT.

D(E_F)	0.000	states/eV per cell
energy relative to the elements, uncorrected	-1.55	eV/atom
DFT total energy	-0.1955	Ha/atom
total moment	0.000	μB per atom

a b c (Å): 8.941 8.941 6.770
angles (deg): 90.00 90.00 102.41
Element x y z (fractional)
Dy 0.096 0.904 0.500
Dy 0.218 0.414 0.400
Dy 0.414 0.218 0.900
Dy 0.586 0.782 0.400
Dy 0.782 0.586 0.900
Dy 0.904 0.096 0.000
Ga 0.298 0.702 0.865
Ga 0.702 0.298 0.365
Se 0.064 0.600 0.681
Se 0.129 0.197 0.701
Se 0.197 0.129 0.201
Se 0.281 0.719 0.222
Se 0.400 0.936 0.681
Se 0.461 0.539 0.716
Se 0.539 0.461 0.216
Se 0.600 0.064 0.181
Se 0.719 0.281 0.722
Se 0.803 0.871 0.701
Se 0.871 0.803 0.201
Se 0.936 0.400 0.181



No. 8
Computed, not measured: a relaxed structure of Pm4TlSn at the PBE level of DFT.

D(E_F)	13.141	states/eV per cell
DFT total energy	-0.1633	Ha/atom
total moment	0.000	μB per atom

a b c (Å): 9.200 9.200 7.757
angles (deg): 102.14 102.14 38.52
Element x y z (fractional)
Pm 0.061 0.799 0.556
Pm 0.201 0.939 0.944
Pm 0.218 0.484 0.894
Pm 0.484 0.218 0.394
Pm 0.516 0.782 0.606
Pm 0.782 0.516 0.106
Pm 0.799 0.061 0.056
Pm 0.939 0.201 0.444
Tl 0.000 0.500 0.500
Tl 0.500 0.000 0.000
Sn 0.375 0.625 0.250
Sn 0.625 0.375 0.750



Repeat the fifth record exactly.
Computed, not measured: a relaxed structure of LiLa2Ge3Pd4 at the PBE level of DFT.

D(E_F)	6.643	states/eV per cell
DFT total energy	-0.2013	Ha/atom
total moment	0.000	μB per atom

a b c (Å): 4.349 4.349 10.320
angles (deg): 90.00 90.00 90.00
Element x y z (fractional)
Li 0.000 0.000 0.000
La 0.000 0.500 0.751
La 0.500 0.000 0.249
Ge 0.000 0.500 0.369
Ge 0.500 0.000 0.631
Ge 0.500 0.500 0.000
Pd 0.000 0.000 0.500
Pd 0.000 0.500 0.127
Pd 0.500 0.000 0.873
Pd 0.500 0.500 0.500



- What is the DFT total energy in the second record?
  -0.1811 Ha/atom



Repeat the first record exactly.
Computed, not measured: a relaxed structure of Tb2InHg9 at the PBE level of DFT.

D(E_F)	7.433	states/eV per cell
DFT total energy	-0.0530	Ha/atom
total moment	0.000	μB per atom

a b c (Å): 4.711 4.711 13.405
angles (deg): 90.00 90.00 90.00
Element x y z (fractional)
Tb 0.000 0.000 0.172
Tb 0.000 0.000 0.828
In 0.000 0.000 0.500
Hg 0.000 0.500 0.000
Hg 0.000 0.500 0.333
Hg 0.000 0.500 0.667
Hg 0.500 0.000 0.000
Hg 0.500 0.000 0.333
Hg 0.500 0.000 0.667
Hg 0.500 0.500 0.162
Hg 0.500 0.500 0.500
Hg 0.500 0.500 0.838